A plane-wave DFT calculation with PBE was carried out for an optimized crystal structure of Zr3HgC.

Total DFT energy (no corrections)   -6.9775 eV per atom
SG   P6_3/mmc (194)
ΔE to the lowest computed polymorph   561 meV per atom
DFT formation energy   57 meV per atom

Cell lengths 4.768, 4.768, 9.315 Å; angles 90.00, 90.00, 120.00 degrees
Fractional positions:
1 Zr 0.000 0.000 0.250
2 Zr 0.000 0.000 0.750
3 Zr 0.333 0.667 0.072
4 Zr 0.333 0.667 0.428
5 Zr 0.667 0.333 0.572
6 Zr 0.667 0.333 0.928
7 Hg 0.333 0.667 0.750
8 Hg 0.667 0.333 0.250
9 C 0.000 0.000 0.000
10 C 0.000 0.000 0.500